# 1
InCoRu4, optimized geometry, DFT PBE; density = 10.1 g/cm³; energy = -7.259 eV per atom; space group = No. 216; ΔH_f (0 K) = 565 meV per atom
1.0
0.000 3.622 3.622
3.622 0.000 3.622
3.622 3.622 0.000
In Co Ru
1 1 4
Direct
0.000 0.000 0.000
0.750 0.750 0.750
0.375 0.375 0.375
0.375 0.375 0.874
0.375 0.874 0.375
0.874 0.375 0.375

---

# 2
Sm4BiSb2, optimized geometry, DFT PBE; density = 7.4 g/cm³; formation energy (no corrections) = -0.794 eV per atom; energy = -5.222 eV per atom; space group = No. 70
1.0
0.000 6.981 6.995
4.858 0.000 6.995
4.858 6.981 0.000
Sm Bi Sb
8 2 4
Direct
0.130 0.306 0.307
0.242 0.693 0.694
0.306 0.130 0.758
0.307 0.758 0.130
0.693 0.242 0.870
0.694 0.870 0.242
0.758 0.307 0.306
0.870 0.694 0.693
0.375 0.375 0.375
0.625 0.625 0.625
0.000 0.000 0.000
0.000 0.000 0.500
0.000 0.500 0.000
0.500 0.000 0.000

---

# 3
BaNdAlZn, optimized geometry, DFT PBE; density = 5.2 g/cm³; energy = -3.023 eV per atom; space group = No. 216; ΔH_f (0 K) = -96 meV per atom
1.0
0.000 3.914 3.914
3.914 0.000 3.914
3.914 3.914 0.000
Ba Nd Al Zn
1 1 1 1
Direct
0.000 0.000 0.000
0.500 0.500 0.500
0.250 0.250 0.250
0.750 0.750 0.750

---

# 4
La2Zn3Ru2, optimized geometry, DFT PBE; density = 7.2 g/cm³; energy = -4.848 eV per atom; space group = No. 12; ΔE to the lowest computed polymorph = 0.0601 eV per atom; ΔH_f (0 K) = -244 meV per atom
1.0
5.363 -2.174 0.000
5.363 2.174 0.000
-0.734 0.000 6.719
La Zn Ru
2 3 2
Direct
0.163 0.163 0.185
0.837 0.837 0.815
0.112 0.112 0.687
0.500 0.500 0.500
0.888 0.888 0.313
0.433 0.433 0.130
0.567 0.567 0.870

---

Which formula does entry 4 have?
La2Zn3Ru2

---

Which formula does entry 2 have?
Sm4BiSb2

---

What is the density in the fourth record?
7.2 g/cm³